{"formula": "TaAg3H", "functional": "PBE", "state": "optimized geometry", "crystal_system": "cubic", "sg": "Pm-3m", "dos_ef_per_ev_fu": 3.604, "m_tot_mub_per_fu": 1.57, "e_tot_ev_per_atom": -3.99, "lattice_angstrom": [[4.229, 0.000, 0.000], [0.000, 4.229, 0.000], [0.000, 0.000, 4.229]], "species": ["Ag", "Ag", "Ag", "Ta", "H"], "frac_coords": [[0.000, 0.500, 0.000], [0.000, 0.000, 0.500], [0.500, 0.000, 0.000], [0.500, 0.500, 0.500], [0.000, 0.000, 0.000]]}